Record 1
## NdAl9Co2 (PBE-GGA)

Data for an optimized crystal structure of NdAl9Co2.

Unit cell a=10.586 b=10.586 c=6.848 alpha=90.00 beta=90.00 gamma=90.00
Space group I4_1/amd (No. 141, origin choice 2)
Unique sites:
Nd: 0.000 0.250 0.375
Al: 0.000 0.250 0.875
Al: 0.122 0.052 0.691
Co: 0.000 0.000 0.000

* formation energy from the elements: -4.572 eV/f.u.
* calculated density: 4.4 g/cm³



Record 2
## Nd2MnZn2Pd5 (PBE-GGA)

Data for an optimized crystal structure of Nd2MnZn2Pd5.

Unit cell a=9.818 b=9.818 c=3.805 alpha=90.00 beta=90.00 gamma=90.00
Space group P4/mbm (No. 127)
Unique sites:
Nd: 0.178 0.322 0.000
Mn: 0.000 0.000 0.000
Zn: 0.120 0.620 0.000
Pd: 0.000 0.500 0.500
Pd: 0.063 0.798 0.500

* formation energy from the elements: -5.529 eV/f.u.
* calculated density: 9.1 g/cm³



Record 3
## Tb8Pm3Er (PBE-GGA)

Data for an optimized crystal structure of Tb8Pm3Er.

Unit cell a=6.493 b=11.294 c=11.471 alpha=90.00 beta=90.00 gamma=90.00
Space group Immm (No. 71)
Unique sites:
Tb: 0.000 0.167 0.249
Tb: 0.247 0.256 0.500
Pm: 0.000 0.000 0.500
Pm: 0.000 0.500 0.254
Er: 0.000 0.000 0.000

* formation energy from the elements: 3.604 eV/f.u.
* calculated density: 7.4 g/cm³



Record 4
## CaSi2Se (PBE-GGA)

Data for an optimized crystal structure of CaSi2Se.

Unit cell a=3.837 b=4.345 c=10.746 alpha=90.00 beta=97.19 gamma=90.00
Space group Pm (No. 6)
Unique sites:
Ca: 0.000 0.000 0.000
Ca: 0.117 0.500 0.320
Si: 0.212 0.500 0.616
Si: 0.482 0.000 0.762
Si: 0.771 0.500 0.761
Si: 0.913 0.000 0.605
Se: 0.525 0.500 0.095
Se: 0.645 0.000 0.390

* formation energy from raw total energies: -0.618 eV/atom
* calculated density: 3.3 g/cm³



Record 5
## SiMoAu2 (PBE-GGA)

Data for an optimized crystal structure of SiMoAu2.

Unit cell a=3.854 b=3.854 c=4.416 alpha=90.00 beta=90.00 gamma=90.00
Space group P4/mmm (No. 123)
Unique sites:
Si: 0.000 0.000 0.000
Mo: 0.500 0.500 0.000
Au: 0.000 0.500 0.500

* formation energy from raw total energies: 0.221 eV/atom
* calculated density: 13.1 g/cm³



Record 6
## Ba3CdPd (PBE-GGA)

Data for an optimized crystal structure of Ba3CdPd.

Unit cell a=18.235 b=4.755 c=9.616 alpha=90.00 beta=91.15 gamma=90.00
Space group C2/m (No. 12)
Unique sites:
Ba: 0.052 0.000 0.192
Ba: 0.115 0.500 0.549
Ba: 0.246 0.000 0.798
Cd: 0.093 0.500 0.924
Pd: 0.209 0.000 0.423

* formation energy from the elements: -1.676 eV/f.u.
* distance to the lowest polymorph of the same formula: 0.0 meV/atom
* calculated density: 5.0 g/cm³



Record 7
## KTc2As (PBE-GGA)

Data for an optimized crystal structure of KTc2As.

Unit cell a=2.994 b=2.994 c=8.794 alpha=90.00 beta=90.00 gamma=90.00
Space group P4mm (No. 99)
Unique sites:
K: 0.000 0.000 0.000
Tc: 0.000 0.000 0.502
Tc: 0.500 0.500 0.330
As: 0.500 0.500 0.693

* formation energy from the elements: 1.240 eV/f.u.
* calculated density: 6.5 g/cm³



Record 8
## ThScPa2 (PBE-GGA)

Data for an optimized crystal structure of ThScPa2.

Unit cell a=4.591 b=4.591 c=4.981 alpha=90.00 beta=90.00 gamma=90.00
Space group P4/mmm (No. 123)
Unique sites:
Th: 0.000 0.000 0.000
Sc: 0.500 0.500 0.000
Pa: 0.000 0.500 0.500

* formation energy from the elements: 0.619 eV/f.u.
* distance to the lowest polymorph of the same formula: 51.4 meV/atom
* calculated density: 11.7 g/cm³